Sm2Zn2Pt15 | PBE | optimized geometry

Results
Space-group type: R-3m, No. 166
Magnetic moment, μB/atom: 0.000
Energy relative to the elements, eV/atom: -0.491

Cell and atoms, written as POSCAR:
```
Sm2Zn2Pt15
1.0
-2.5530 -6.5046 -0.1609
6.1501 -3.3200 -0.0809
0.3868 -1.2299 6.8695
Sm Zn Pt
2 2 15
Cartesian
1.3803 -3.8301 2.2964
2.6036 -7.2244 4.3314
0.3833 -1.0635 0.6376
3.6007 -9.9910 5.9901
-1.2765 -3.2523 -0.0805
0.1934 -0.6150 3.4348
3.0751 -1.6600 -0.0404
4.3455 -2.6656 2.0954
0.1721 -5.5074 -0.1359
-0.5337 -2.8815 4.6682
3.4250 -4.3172 -0.1060
-1.6325 -4.8530 2.0404
2.1914 -1.8844 4.6932
3.8934 -4.0205 4.4374
2.4260 -6.6534 0.9281
-0.4508 -5.6101 4.3975
0.0905 -7.0340 2.1903
1.5580 -4.4011 5.6996
4.4348 -5.4444 2.2302
```